Compound: AlInSb2
Source: Alexandria
Functional: PBE
Structure: optimized geometry

```
AlInSb2
1.0
4.539 0.000 0.000
0.000 4.539 0.000
0.000 0.000 6.427
Sb Al In
2 1 1
Cartesian
0.000 2.269 1.495
2.269 0.000 4.932
0.000 0.000 0.000
2.269 2.269 3.214
```

**Polymorph energy (0 for the lowest one)**: 9 meV/atom
**E_form (uncorrected)**: -0.132 eV per atom
**Total magnetic moment**: 0.0 μB per formula unit